Entry from Alexandria: a relaxed structure of AcCrP2 (PBE).

Calculated values
ΔE to the lowest computed polymorph = 530.8 meV/atom
DFT formation energy = -0.9 eV per formula unit
electronic total energy = -6.3717 eV/atom
density of states at the Fermi level = 3.1 states/eV/f.u.

a = 3.5436 Å, b = 3.5436 Å, c = 6.3366 Å
α = 90.00°, β = 90.00°, γ = 90.00°
With the nearest neighbours (Å) after each atom.
Space group P4/mmm (No. 123)
Asymmetric unit:
1 Ac 0.0000 0.0000 0.0000 (multiplicity 1)  2 Cr 3.17, 8 P 3.23, 4 Ac 3.54
2 Cr 0.0000 0.0000 0.5000 (multiplicity 1)  8 P 2.75
3 P 0.5000 0.5000 0.3228 (multiplicity 2)  1 P 2.25